[1]
The following is a GGA-PBE calculation of a relaxed structure of CsLiAu2, from Alexandria via LeMat-Bulk.

Properties
The formation energy from the elements is -0.018 eV/atom. The density comes out at 7.2 g/cm³. As for the crystal system: cubic. The final energy is -0.17262 Ry per atom.

POSCAR file:
```
CsLiAu2
1.0
-4.9468 -2.2719 -1.2630
-4.3408 0.6571 3.4574
-4.2811 3.2722 -1.4808
Au Li Cs
2 1 1
Direct
0.7500 0.7500 0.7500 Au
0.2500 0.2500 0.2500 Au
0.0000 0.0000 0.0000 Li
0.5000 0.5000 0.5000 Cs
```

=====

[2]
The following is a GGA-PBE calculation of a relaxed structure of Pu5Pb3, from Alexandria via LeMat-Bulk.

Properties
The formation energy from the elements is -0.080 eV/atom. The density comes out at 13.3 g/cm³. As for the crystal system: tetragonal. The final energy is -0.76645 Ry per atom.

POSCAR file:
```
Pu5Pb3
1.0
-6.2071 6.2071 2.9838
6.2071 -6.2071 2.9838
6.2071 6.2071 -2.9838
Pu Pb
10 6
Direct
0.4184 0.2728 0.6912 Pu
0.0816 0.7728 0.8544 Pu
0.2728 0.5816 0.8544 Pu
0.5816 0.7272 0.3088 Pu
0.7728 0.9184 0.6912 Pu
0.9184 0.2272 0.1456 Pu
0.7500 0.2500 0.5000 Pu
0.2500 0.7500 0.5000 Pu
0.7272 0.4184 0.1456 Pu
0.2272 0.0816 0.3088 Pu
0.7500 0.7500 0.0000 Pb
0.3369 0.8369 0.1739 Pb
0.6631 0.1631 0.8261 Pb
0.1631 0.3369 0.5000 Pb
0.8369 0.6631 0.5000 Pb
0.2500 0.2500 0.0000 Pb
```

=====

[3]
The following is a GGA-PBE calculation of a relaxed structure of Ce3Sc5S12, from Alexandria via LeMat-Bulk.

Properties
The calculation puts the raw formation energy at -1842 meV per atom. The density comes out at 3.5 g/cm³. As for the crystal system: cubic. The final energy is -0.49915 Ry per atom.

POSCAR file:
```
Ce3Sc5S12
1.0
-8.0858 -9.8028 4.9316
10.9299 -5.6492 -5.8668
4.0019 8.1367 10.1771
S Sc Ce
48 20 12
Direct
0.7875 0.3239 0.9126 S
0.2875 0.4126 0.8239 S
0.5874 0.7125 0.6761 S
0.4126 0.2875 0.3239 S
0.4114 0.0364 0.3239 S
0.5886 0.6250 0.4126 S
0.4636 0.6761 0.0886 S
0.9126 0.8239 0.7875 S
0.4126 0.1250 0.5886 S
0.8239 0.9126 0.2875 S
0.9636 0.3750 0.2875 S
0.6250 0.0364 0.2125 S
0.5364 0.3239 0.9114 S
0.0886 0.9126 0.1250 S
0.7125 0.5874 0.1761 S
0.1761 0.0886 0.9636 S
0.8750 0.2875 0.4636 S
0.2875 0.8750 0.9636 S
0.4636 0.7875 0.8750 S
0.1250 0.7125 0.5364 S
0.5364 0.2125 0.1250 S
0.0364 0.4114 0.8239 S
0.2125 0.6761 0.0874 S
0.3750 0.9636 0.7875 S
0.3239 0.5364 0.4114 S
0.2125 0.5364 0.6250 S
0.5886 0.9636 0.6761 S
0.6761 0.4636 0.5886 S
0.9636 0.5886 0.1761 S
0.0886 0.1761 0.4636 S
0.5874 0.8750 0.4114 S
0.0874 0.1761 0.2125 S
0.9126 0.0886 0.6250 S
0.9114 0.8239 0.5364 S
0.0874 0.9114 0.3750 S
0.8750 0.5874 0.9114 S
0.7875 0.4636 0.3750 S
0.7125 0.1250 0.0364 S
0.4114 0.3750 0.5874 S
0.3239 0.7875 0.4126 S
0.6761 0.2125 0.5874 S
0.6250 0.5886 0.9126 S
0.9114 0.0874 0.8750 S
0.0364 0.6250 0.7125 S
0.8239 0.9114 0.0364 S
0.1761 0.0874 0.7125 S
0.3750 0.4114 0.0874 S
0.1250 0.4126 0.0886 S
0.7500 0.1250 0.8750 Sc
0.6250 0.7500 0.8750 Sc
0.5000 0.5000 0.5000 Sc
0.1250 0.7500 0.3750 Sc
0.3750 0.2500 0.1250 Sc
0.1250 0.3750 0.2500 Sc
0.7500 0.6250 0.3750 Sc
0.5000 0.0000 0.0000 Sc
0.0000 0.0000 0.5000 Sc
0.8750 0.2500 0.6250 Sc
0.5000 0.5000 0.0000 Sc
0.0000 0.5000 0.0000 Sc
0.3750 0.1250 0.7500 Sc
0.2500 0.8750 0.1250 Sc
0.0000 0.0000 0.0000 Sc
0.0000 0.5000 0.5000 Sc
0.5000 0.0000 0.5000 Sc
0.8750 0.6250 0.7500 Sc
0.6250 0.8750 0.2500 Sc
0.2500 0.3750 0.6250 Sc
0.3750 0.6250 0.2500 Ce
0.6250 0.3750 0.7500 Ce
0.2500 0.6250 0.8750 Ce
0.1250 0.8750 0.7500 Ce
0.2500 0.1250 0.3750 Ce
0.7500 0.3750 0.1250 Ce
0.7500 0.8750 0.6250 Ce
0.3750 0.7500 0.6250 Ce
0.6250 0.2500 0.3750 Ce
0.1250 0.2500 0.8750 Ce
0.8750 0.1250 0.2500 Ce
0.8750 0.7500 0.1250 Ce
```

=====

[4]
The following is a GGA-PBE calculation of a relaxed structure of InNiMo2N, from Alexandria via LeMat-Bulk.

Properties
The calculation puts the raw formation energy at -10 meV per atom. The density comes out at 9.1 g/cm³. As for the crystal system: tetragonal. The final energy is -0.56678 Ry per atom.

POSCAR file:
```
InNiMo2N
1.0
4.1630 0.0000 0.0000
0.0000 4.1630 0.0000
0.0000 0.0000 3.9904
Mo In N Ni
2 1 1 1
Direct
0.5000 0.0000 0.0000 Mo
0.0000 0.5000 0.0000 Mo
0.5000 0.5000 0.5000 In
0.0000 0.0000 0.0000 N
0.0000 0.0000 0.5000 Ni
```

=====

[5]
The following is a GGA-PBE calculation of a relaxed structure of BaSnIr3, from Alexandria via LeMat-Bulk.

Properties
The formation energy from the elements is 2.432 eV/atom. The density comes out at 10.1 g/cm³. As for the crystal system: cubic. The final energy is -0.29915 Ry per atom.

POSCAR file:
```
BaSnIr3
1.0
-4.3903 -2.5967 -0.6871
1.7301 -3.7409 3.0826
-2.0547 2.3985 4.0639
Ir Ba Sn
3 1 1
Direct
0.5000 0.0000 0.0000 Ir
0.0000 0.5000 0.0000 Ir
0.0000 0.0000 0.5000 Ir
0.0000 0.0000 0.0000 Ba
0.5000 0.5000 0.5000 Sn
```

=====

[6]
The following is a GGA-PBE calculation of a relaxed structure of BeNiSe, from Alexandria via LeMat-Bulk.

Properties
The calculation puts the raw formation energy at -239 meV per atom. The density comes out at 5.4 g/cm³. As for the crystal system: monoclinic. The final energy is -0.33589 Ry per atom.

POSCAR file:
```
BeNiSe
1.0
-1.7060 3.2630 -0.2312
-1.3762 -2.2747 7.5270
1.6759 3.0488 1.2305
Se Ni Be
2 2 2
Direct
0.2922 0.1949 0.6338 Se
0.7015 0.8103 0.4264 Se
0.5024 0.5087 0.5280 Ni
0.7141 0.3275 0.9230 Ni
0.0895 0.8922 0.7323 Be
0.1314 0.4525 0.2138 Be
```

=====

[7]
The following is a GGA-PBE calculation of a relaxed structure of Mn2BeTe, from Alexandria via LeMat-Bulk.

Properties
The calculation puts the raw formation energy at 366 meV per atom. The density comes out at 8.2 g/cm³. As for the crystal system: cubic. The final energy is -0.43625 Ry per atom.

POSCAR file:
```
Mn2BeTe
1.0
-0.2171 0.6795 4.0741
-3.6811 0.4851 1.8224
-1.4676 -2.9402 2.5117
Te Mn Be
1 2 1
Direct
0.5000 0.5000 0.5000 Te
0.2500 0.2500 0.2500 Mn
0.7500 0.7500 0.7500 Mn
0.0000 0.0000 0.0000 Be
```

=====

[8]
The following is a GGA-PBE calculation of a relaxed structure of DyYCdCu, from Alexandria via LeMat-Bulk.

Properties
The formation energy from the elements is -0.236 eV/atom. The density comes out at 7.5 g/cm³. As for the crystal system: cubic. The final energy is -0.31278 Ry per atom.

POSCAR file:
```
DyYCdCu
1.0
-4.7925 1.0598 1.4767
-3.9701 -1.9487 -2.5908
-2.8966 -3.6586 2.1204
Dy Y Cd Cu
1 1 1 1
Direct
0.2500 0.2500 0.2500 Dy
0.7500 0.7500 0.7500 Y
0.5000 0.5000 0.5000 Cd
0.0000 0.0000 0.0000 Cu
```

=====

[9]
The following is a GGA-PBE calculation of a relaxed structure of Pr6CdPb5, from Alexandria via LeMat-Bulk.

Properties
The formation energy from the elements is -0.494 eV/atom. The density comes out at 9.0 g/cm³. As for the crystal system: orthorhombic. The final energy is -0.33112 Ry per atom.

POSCAR file:
```
Pr6CdPb5
1.0
-4.3843 -2.6187 0.9059
2.2678 -0.7736 8.7267
-5.8801 5.4025 2.0064
Pb Pr Cd
5 6 1
Direct
0.0000 0.5000 0.0000 Pb
0.3319 0.5000 0.3363 Pb
0.6608 0.0000 0.6784 Pb
0.3392 0.0000 0.3216 Pb
0.6681 0.5000 0.6637 Pb
0.1669 0.7550 0.6662 Pr
0.5000 0.7510 0.0000 Pr
0.8331 0.7550 0.3338 Pr
0.5000 0.2490 0.0000 Pr
0.8331 0.2450 0.3338 Pr
0.1669 0.2450 0.6662 Pr
0.0000 0.0000 0.0000 Cd
```

=====

[10]
The following is a GGA-PBE calculation of a relaxed structure of LiIr2Rh2, from Alexandria via LeMat-Bulk.

Properties
The formation energy from the elements is 0.100 eV/atom. The density comes out at 12.7 g/cm³. As for the crystal system: tetragonal. The final energy is -0.49742 Ry per atom.

POSCAR file:
```
LiIr2Rh2
1.0
-2.8121 -2.8427 6.4803
1.2263 -7.0635 -2.5664
2.4714 0.0340 1.0873
Rh Li Ir
4 2 4
Direct
0.3794 0.8794 0.0000 Rh
0.6206 0.1206 0.0000 Rh
0.1206 0.3794 0.0000 Rh
0.8794 0.6206 0.0000 Rh
0.5000 0.5000 0.0000 Li
0.0000 0.0000 0.0000 Li
0.3228 0.1772 0.5000 Ir
0.8228 0.3228 0.5000 Ir
0.1772 0.6772 0.5000 Ir
0.6772 0.8228 0.5000 Ir
```

=====

[11]
The following is a GGA-PBE calculation of a relaxed structure of CaAsRh2, from Alexandria via LeMat-Bulk.

Properties
The formation energy from the elements is -0.319 eV/atom. The density comes out at 7.3 g/cm³. As for the crystal system: monoclinic. The final energy is -0.41584 Ry per atom.

POSCAR file:
```
CaAsRh2
1.0
-2.2596 3.0169 -0.0914
-2.3073 -1.6892 1.2856
0.6532 0.6808 6.3238
Rh Ca As
2 1 1
Direct
0.0000 0.0784 0.0470 Rh
0.0000 0.4216 0.4530 Rh
0.5000 0.7500 0.7500 Ca
0.5000 0.2500 0.2500 As
```

=====

[12]
The following is a GGA-PBE calculation of a relaxed structure of NbZn2P2, from Alexandria via LeMat-Bulk.

Properties
The formation energy from the elements is 0.191 eV/atom. The density comes out at 6.2 g/cm³. As for the crystal system: tetragonal. The final energy is -0.33049 Ry per atom.

POSCAR file:
```
NbZn2P2
1.0
-5.7710 -2.4881 2.7248
3.5196 -5.2308 2.6779
0.5295 1.7470 2.7166
Zn P Nb
4 4 2
Direct
0.1243 0.3757 0.0000 Zn
0.8757 0.6243 0.0000 Zn
0.6243 0.1243 0.0000 Zn
0.3757 0.8757 0.0000 Zn
0.3159 0.1841 0.5000 P
0.8159 0.3159 0.5000 P
0.6841 0.8159 0.5000 P
0.1841 0.6841 0.5000 P
0.5000 0.5000 0.0000 Nb
0.0000 0.0000 0.0000 Nb
```